# 1
DFT (GGA-PBE) results for a geometry-optimized SiF structure.

Results
SG	P4/m (83)
Fermi-level density of states	0.186	states/eV/atom
DFT total energy	-5.1061	eV per atom
offset from the most stable computed form	239	meV/atom

Cell and atoms, written as CIF:
```
data_SiF
_chemical_formula_sum 'Si8 F8'
_symmetry_space_group_name_H-M 'P 1'
_symmetry_Int_Tables_number 1
_symmetry_space_group_name_Hall 'P 1'
_cell_length_a 8.841
_cell_length_b 8.841
_cell_length_c 2.966
_cell_angle_alpha 90.00
_cell_angle_beta 90.00
_cell_angle_gamma 90.00
loop_
_atom_site_label
_atom_site_fract_x
_atom_site_fract_y
_atom_site_fract_z
F1 0.780 0.839 0.000
F2 0.027 0.323 0.500
F3 0.323 0.973 0.500
F4 0.839 0.220 0.000
F5 0.973 0.677 0.500
F6 0.161 0.780 0.000
F7 0.220 0.161 0.000
F8 0.677 0.027 0.500
Si1 0.611 0.914 0.000
Si2 0.471 0.312 0.500
Si3 0.312 0.529 0.500
Si4 0.389 0.086 0.000
Si5 0.086 0.611 0.000
Si6 0.529 0.688 0.500
Si7 0.914 0.389 0.000
Si8 0.688 0.471 0.500
```

# 2
DFT (GGA-PBE) results for a geometry-optimized SiF structure.

Results
SG	P6_3mc (186)
Fermi-level density of states	0.259	states/eV/atom
DFT total energy	-5.0022	eV per atom
offset from the most stable computed form	343	meV/atom

Cell and atoms, written as CIF:
```
data_SiF
_chemical_formula_sum 'Si2 F2'
_symmetry_space_group_name_H-M 'P 1'
_symmetry_Int_Tables_number 1
_symmetry_space_group_name_Hall 'P 1'
_cell_length_a 2.783
_cell_length_b 2.783
_cell_length_c 8.894
_cell_angle_alpha 90.00
_cell_angle_beta 90.00
_cell_angle_gamma 120.00
loop_
_atom_site_label
_atom_site_fract_x
_atom_site_fract_y
_atom_site_fract_z
F1 0.667 0.333 0.948
F2 0.333 0.667 0.448
Si1 0.667 0.333 0.134
Si2 0.333 0.667 0.634
```

# 3
DFT (GGA-PBE) results for a geometry-optimized SiF structure.

Results
SG	P4_2/mnm (136)
Fermi-level density of states	0.582	states/eV/atom
DFT total energy	-4.2922	eV per atom
offset from the most stable computed form	1053	meV/atom

Cell and atoms, written as CIF:
```
data_SiF
_chemical_formula_sum 'Si4 F4'
_symmetry_space_group_name_H-M 'P 1'
_symmetry_Int_Tables_number 1
_symmetry_space_group_name_Hall 'P 1'
_cell_length_a 6.441
_cell_length_b 6.441
_cell_length_c 3.899
_cell_angle_alpha 90.00
_cell_angle_beta 90.00
_cell_angle_gamma 90.00
loop_
_atom_site_label
_atom_site_fract_x
_atom_site_fract_y
_atom_site_fract_z
Si1 0.365 0.635 0.500
Si2 0.635 0.365 0.500
Si3 0.865 0.865 0.000
Si4 0.135 0.135 0.000
F1 0.855 0.855 0.500
F2 0.355 0.645 0.000
F3 0.145 0.145 0.500
F4 0.645 0.355 0.000
```

# 4
DFT (GGA-PBE) results for a geometry-optimized SiF4 structure.

Results
SG	C2/c (15)
Fermi-level density of states	0.000	states/eV/atom
DFT total energy	-5.5294	eV per atom

Cell and atoms, written as CIF:
```
data_SiF4
_chemical_formula_sum 'Si2 F8'
_symmetry_space_group_name_H-M 'P 1'
_symmetry_Int_Tables_number 1
_symmetry_space_group_name_Hall 'P 1'
_cell_length_a 5.548
_cell_length_b 4.558
_cell_length_c 6.360
_cell_angle_alpha 77.43
_cell_angle_beta 64.14
_cell_angle_gamma 60.08
loop_
_atom_site_label
_atom_site_fract_x
_atom_site_fract_y
_atom_site_fract_z
F1 0.943 0.245 0.666
F2 0.609 0.745 0.334
F3 0.241 0.820 0.904
F4 0.057 0.755 0.334
F5 0.145 0.320 0.096
F6 0.391 0.255 0.666
F7 0.759 0.180 0.096
F8 0.855 0.680 0.904
Si1 0.918 0.750 0.163
Si2 0.082 0.250 0.837
```

# 5
DFT (GGA-PBE) results for a geometry-optimized SiF structure.

Results
SG	R-3m (166)
DFT total energy	-5.3450	eV per atom
offset from the most stable computed form	0	meV/atom

Cell and atoms, written as CIF:
```
data_SiF
_chemical_formula_sum 'Si6 F6'
_symmetry_space_group_name_H-M 'P 1'
_symmetry_Int_Tables_number 1
_symmetry_space_group_name_Hall 'P 1'
_cell_length_a 3.962
_cell_length_b 3.962
_cell_length_c 18.221
_cell_angle_alpha 90.00
_cell_angle_beta 90.00
_cell_angle_gamma 120.00
loop_
_atom_site_label
_atom_site_fract_x
_atom_site_fract_y
_atom_site_fract_z
F1 0.333 0.667 0.942
F2 0.000 0.000 0.275
F3 0.000 0.000 0.725
F4 0.667 0.333 0.058
F5 0.667 0.333 0.609
F6 0.333 0.667 0.391
Si1 0.000 0.000 0.186
Si2 0.333 0.667 0.481
Si3 0.667 0.333 0.148
Si4 0.000 0.000 0.814
Si5 0.667 0.333 0.519
Si6 0.333 0.667 0.852
```

# 6
DFT (GGA-PBE) results for a geometry-optimized SiF structure.

Results
SG	Fddd (70)
Fermi-level density of states	0.126	states/eV/atom
DFT total energy	-4.6287	eV per atom
offset from the most stable computed form	717	meV/atom

Cell and atoms, written as CIF:
```
data_SiF
_chemical_formula_sum 'Si16 F16'
_symmetry_space_group_name_H-M 'P 1'
_symmetry_Int_Tables_number 1
_symmetry_space_group_name_Hall 'P 1'
_cell_length_a 7.473
_cell_length_b 15.283
_cell_length_c 4.675
_cell_angle_alpha 90.00
_cell_angle_beta 90.00
_cell_angle_gamma 90.00
loop_
_atom_site_label
_atom_site_fract_x
_atom_site_fract_y
_atom_site_fract_z
Si1 0.750 0.750 0.497
Si2 0.250 0.250 0.497
Si3 0.000 0.500 0.247
Si4 0.250 0.750 0.997
Si5 0.250 0.250 0.003
Si6 0.750 0.750 0.003
Si7 0.500 0.500 0.253
Si8 0.500 0.000 0.247
Si9 0.500 0.000 0.753
Si10 0.750 0.250 0.997
Si11 0.250 0.750 0.503
Si12 0.000 0.500 0.753
Si13 0.750 0.250 0.503
Si14 0.000 0.000 0.747
Si15 0.500 0.500 0.747
Si16 0.000 0.000 0.253
F1 0.500 0.272 0.000
F2 0.250 0.022 0.750
F3 0.000 0.772 0.000
F4 0.500 0.772 0.500
F5 0.000 0.728 0.500
F6 0.500 0.228 0.500
F7 0.750 0.978 0.750
F8 0.750 0.522 0.750
F9 0.500 0.728 0.000
F10 0.250 0.522 0.250
F11 0.000 0.272 0.500
F12 0.250 0.978 0.250
F13 0.750 0.478 0.250
F14 0.000 0.228 0.000
F15 0.750 0.022 0.250
F16 0.250 0.478 0.750
```

# 7
DFT (GGA-PBE) results for a geometry-optimized SiF structure.

Results
SG	P6_3/m (176)
Fermi-level density of states	0.170	states/eV/atom
DFT total energy	-5.0216	eV per atom
offset from the most stable computed form	324	meV/atom

Cell and atoms, written as CIF:
```
data_SiF
_chemical_formula_sum 'Si6 F6'
_symmetry_space_group_name_H-M 'P 1'
_symmetry_Int_Tables_number 1
_symmetry_space_group_name_Hall 'P 1'
_cell_length_a 9.107
_cell_length_b 9.107
_cell_length_c 2.742
_cell_angle_alpha 90.00
_cell_angle_beta 90.00
_cell_angle_gamma 120.00
loop_
_atom_site_label
_atom_site_fract_x
_atom_site_fract_y
_atom_site_fract_z
Si1 0.526 0.135 0.250
Si2 0.474 0.865 0.750
Si3 0.135 0.609 0.750
Si4 0.609 0.474 0.250
Si5 0.865 0.391 0.250
Si6 0.391 0.526 0.750
F1 0.334 0.104 0.250
F2 0.666 0.896 0.750
F3 0.229 0.334 0.750
F4 0.896 0.229 0.250
F5 0.104 0.771 0.750
F6 0.771 0.666 0.250
```

# 8
DFT (GGA-PBE) results for a geometry-optimized SiF structure.

Results
SG	Pm-3n (223)
Fermi-level density of states	0.484	states/eV/atom
DFT total energy	-3.7341	eV per atom
offset from the most stable computed form	1611	meV/atom

Cell and atoms, written as CIF:
```
data_SiF
_chemical_formula_sum 'Si6 F6'
_symmetry_space_group_name_H-M 'P 1'
_symmetry_Int_Tables_number 1
_symmetry_space_group_name_Hall 'P 1'
_cell_length_a 6.546
_cell_length_b 6.546
_cell_length_c 6.546
_cell_angle_alpha 90.00
_cell_angle_beta 90.00
_cell_angle_gamma 90.00
loop_
_atom_site_label
_atom_site_fract_x
_atom_site_fract_y
_atom_site_fract_z
Si1 0.500 0.750 0.000
Si2 0.000 0.500 0.750
Si3 0.750 0.000 0.500
Si4 0.000 0.500 0.250
Si5 0.250 0.000 0.500
Si6 0.500 0.250 0.000
F1 0.750 0.500 0.000
F2 0.500 0.000 0.750
F3 0.000 0.250 0.500
F4 0.000 0.750 0.500
F5 0.500 0.000 0.250
F6 0.250 0.500 0.000
```

# 9
DFT (GGA-PBE) results for a geometry-optimized SiF structure.

Results
SG	I4/m (87)
Fermi-level density of states	0.612	states/eV/atom
DFT total energy	-5.0624	eV per atom
offset from the most stable computed form	283	meV/atom

Cell and atoms, written as CIF:
```
data_SiF
_chemical_formula_sum 'Si8 F8'
_symmetry_space_group_name_H-M 'P 1'
_symmetry_Int_Tables_number 1
_symmetry_space_group_name_Hall 'P 1'
_cell_length_a 9.476
_cell_length_b 9.476
_cell_length_c 3.350
_cell_angle_alpha 90.00
_cell_angle_beta 90.00
_cell_angle_gamma 90.00
loop_
_atom_site_label
_atom_site_fract_x
_atom_site_fract_y
_atom_site_fract_z
Si1 0.949 0.369 0.500
Si2 0.369 0.051 0.500
Si3 0.051 0.631 0.500
Si4 0.131 0.449 0.000
Si5 0.631 0.949 0.500
Si6 0.551 0.131 0.000
Si7 0.449 0.869 0.000
Si8 0.869 0.551 0.000
F1 0.210 0.114 0.500
F2 0.710 0.614 0.000
F3 0.790 0.886 0.500
F4 0.386 0.710 0.000
F5 0.886 0.210 0.500
F6 0.614 0.290 0.000
F7 0.290 0.386 0.000
F8 0.114 0.790 0.500
```

# 10
DFT (GGA-PBE) results for a geometry-optimized SiF4 structure.

Results
SG	C2/c (15)
Fermi-level density of states	0.000	states/eV/atom
DFT total energy	-5.7067	eV per atom

Cell and atoms, written as CIF:
```
data_SiF4
_chemical_formula_sum 'Si2 F8'
_symmetry_space_group_name_H-M 'P 1'
_symmetry_Int_Tables_number 1
_symmetry_space_group_name_Hall 'P 1'
_cell_length_a 4.527
_cell_length_b 5.133
_cell_length_c 8.094
_cell_angle_alpha 77.90
_cell_angle_beta 73.76
_cell_angle_gamma 63.83
loop_
_atom_site_label
_atom_site_fract_x
_atom_site_fract_y
_atom_site_fract_z
F1 0.443 0.025 0.199
F2 0.557 0.975 0.801
F3 0.667 0.475 0.301
F4 0.932 0.308 0.909
F5 0.851 0.808 0.409
F6 0.149 0.192 0.591
F7 0.068 0.692 0.091
F8 0.333 0.525 0.699
Si1 0.757 0.750 0.250
Si2 0.243 0.250 0.750
```